i.
{"formula": "SrSbBr2", "functional": "GGA-PBE", "state": "optimized geometry", "sg": "Pmmm", "dos_ef_per_ev_cell": 1.71, "vol_a3_per_cell": 122, "lattice": [[3.942, 0.000, 0.000], [0.000, 6.386, 0.000], [0.000, 0.000, 4.839]], "species": ["Sr", "Sb", "Br", "Br"], "frac_coords": [[0.000, 0.500, 0.500], [0.500, 0.000, 0.500], [0.000, 0.000, 0.000], [0.500, 0.500, 0.000]]}

=====

ii.
{"formula": "SrSbBr2", "functional": "GGA-PBE", "state": "optimized geometry", "sg": "Immm", "dos_ef_per_ev_cell": 0.86, "vol_a3_per_cell": 124, "lattice": [[-3.018, -1.231, 5.417], [2.764, -5.094, 2.525], [0.753, 6.058, -1.645]], "species": ["Br", "Br", "Sr", "Sb"], "frac_coords": [[0.507, 0.507, 0.000], [0.993, 0.993, 0.000], [0.750, 0.250, 0.500], [0.250, 0.750, 0.500]]}

=====

iii.
{"formula": "SrSbBr2", "functional": "GGA-PBE", "state": "optimized geometry", "sg": "I-42d", "dos_ef_per_ev_cell": 7.45, "vol_a3_per_cell": 269, "lattice": [[-7.571, -3.666, -1.869], [1.796, -6.464, 5.407], [-4.444, -3.232, 4.478]], "species": ["Sb", "Sb", "Sr", "Sr", "Br", "Br", "Br", "Br"], "frac_coords": [[0.750, 0.250, 0.500], [0.000, 0.000, 0.000], [0.250, 0.750, 0.500], [0.500, 0.500, 0.000], [0.139, 0.625, 0.250], [0.375, 0.389, 0.750], [0.875, 0.861, 0.750], [0.611, 0.125, 0.250]]}

=====

iv.
{"formula": "SrSbBr2", "functional": "GGA-PBE", "state": "optimized geometry", "sg": "F-43m", "dos_ef_per_ev_cell": 3.14, "vol_a3_per_cell": 131, "lattice": [[5.696, 0.000, 0.000], [2.848, 4.933, 0.000], [2.848, 1.644, 4.651]], "species": ["Br", "Br", "Sr", "Sb"], "frac_coords": [[0.250, 0.250, 0.250], [0.000, 0.000, 0.000], [0.750, 0.750, 0.750], [0.500, 0.500, 0.500]]}

=====

Top of the stability list: i, leading by 68 meV/atom.

=====

i.
{"formula": "SrSbBr2", "functional": "GGA-PBE", "state": "optimized geometry", "sg": "Fm-3m", "dos_ef_per_ev_cell": 3.00, "vol_a3_per_cell": 127, "lattice": [[0.000, 3.986, 3.986], [3.986, 0.000, 3.986], [3.986, 3.986, 0.000]], "species": ["Br", "Br", "Sb", "Sr"], "frac_coords": [[0.750, 0.750, 0.750], [0.250, 0.250, 0.250], [0.500, 0.500, 0.500], [0.000, 0.000, 0.000]]}

=====

ii.
{"formula": "SrSbBr2", "functional": "GGA-PBE", "state": "optimized geometry", "sg": "R3m", "dos_ef_per_ev_cell": 3.13, "vol_a3_per_cell": 152, "lattice": [[10.277, 0.000, 0.000], [9.422, 4.104, 0.000], [9.422, 1.963, 3.604]], "species": ["Sr", "Br", "Br", "Sb"], "frac_coords": [[0.745, 0.745, 0.745], [0.234, 0.234, 0.234], [0.019, 0.019, 0.019], [0.502, 0.502, 0.502]]}

=====

Top of the stability list: i, leading by 49 meV/atom.

=====

i.
{"formula": "SrSb3Br", "functional": "GGA-PBE", "state": "optimized geometry", "sg": "Pm-3m", "dos_ef_per_ev_cell": 4.14, "vol_a3_per_cell": 174, "lattice": [[5.584, 0.000, 0.000], [0.000, 5.584, 0.000], [0.000, 0.000, 5.584]], "species": ["Br", "Sb", "Sb", "Sb", "Sr"], "frac_coords": [[0.000, 0.000, 0.000], [0.500, 0.000, 0.000], [0.000, 0.500, 0.000], [0.000, 0.000, 0.500], [0.500, 0.500, 0.500]]}

=====

ii.
{"formula": "SrSb3Br", "functional": "GGA-PBE", "state": "optimized geometry", "sg": "Pm-3m", "dos_ef_per_ev_cell": 6.52, "vol_a3_per_cell": 226, "lattice": [[6.095, 0.000, 0.000], [0.000, 6.095, 0.000], [0.000, 0.000, 6.095]], "species": ["Sb", "Sb", "Sb", "Br", "Sr"], "frac_coords": [[0.000, 0.500, 0.000], [0.000, 0.000, 0.500], [0.500, 0.000, 0.000], [0.500, 0.500, 0.500], [0.000, 0.000, 0.000]]}

=====

Top of the stability list: i, leading by 527 meV/atom.

=====

i.
{"formula": "Sr2Sb2Br", "functional": "GGA-PBE", "state": "optimized geometry", "sg": "P4/mbm", "dos_ef_per_ev_cell": 7.12, "vol_a3_per_cell": 351, "lattice": [[-5.375, 5.653, -4.473], [-2.882, -6.800, -5.130], [-3.191, -0.788, 2.838]], "species": ["Sb", "Sb", "Sb", "Sb", "Br", "Br", "Sr", "Sr", "Sr", "Sr"], "frac_coords": [[0.391, 0.891, 0.000], [0.891, 0.609, 0.000], [0.109, 0.391, 0.000], [0.609, 0.109, 0.000], [0.000, 0.000, 0.000], [0.500, 0.500, 0.000], [0.315, 0.185, 0.500], [0.685, 0.815, 0.500], [0.815, 0.315, 0.500], [0.185, 0.685, 0.500]]}

=====

ii.
{"formula": "Sr2Sb2Br", "functional": "GGA-PBE", "state": "optimized geometry", "sg": "I4/mmm", "dos_ef_per_ev_cell": 1.90, "vol_a3_per_cell": 182, "lattice": [[-2.547, -3.066, -2.176], [-0.651, -2.230, 3.902], [-8.813, 2.223, 2.443]], "species": ["Sb", "Sb", "Br", "Sr", "Sr"], "frac_coords": [[0.250, 0.750, 0.500], [0.750, 0.250, 0.500], [0.000, 0.000, 0.000], [0.385, 0.385, 0.229], [0.615, 0.615, 0.771]]}

=====

Top of the stability list: ii, leading by 33 meV/atom.

=====

i.
{"formula": "SrSb2TeBr", "functional": "GGA-PBE", "state": "optimized geometry", "sg": "P4/mmm", "dos_ef_per_ev_cell": 4.32, "vol_a3_per_cell": 180, "lattice": [[-2.223, 3.290, 3.840], [-4.747, 0.088, -2.824], [-1.856, -4.724, 2.973]], "species": ["Sr", "Sb", "Sb", "Te", "Br"], "frac_coords": [[0.500, 0.500, 0.500], [0.500, 0.000, 0.000], [0.000, 0.500, 0.000], [0.000, 0.000, 0.500], [0.000, 0.000, 0.000]]}

=====

ii.
{"formula": "SrSb2TeBr", "functional": "GGA-PBE", "state": "optimized geometry", "sg": "P4/mmm", "dos_ef_per_ev_cell": 7.52, "vol_a3_per_cell": 229, "lattice": [[-4.567, 3.679, 2.008], [-3.677, -4.942, 0.693], [1.935, -0.654, 5.598]], "species": ["Br", "Te", "Sb", "Sb", "Sr"], "frac_coords": [[0.500, 0.500, 0.500], [0.000, 0.000, 0.500], [0.000, 0.500, 0.000], [0.500, 0.000, 0.000], [0.000, 0.000, 0.000]]}

=====

Top of the stability list: i, leading by 442 meV/atom.

=====

i.
{"formula": "SrSbTe2Br", "functional": "GGA-PBE", "state": "optimized geometry", "sg": "P4/mmm", "dos_ef_per_ev_cell": 8.30, "vol_a3_per_cell": 233, "lattice": [[-0.902, 5.819, 1.366], [0.906, -1.232, 5.848], [6.221, 1.135, -0.725]], "species": ["Te", "Te", "Sr", "Br", "Sb"], "frac_coords": [[0.000, 0.500, 0.000], [0.500, 0.000, 0.000], [0.000, 0.000, 0.000], [0.500, 0.500, 0.500], [0.000, 0.000, 0.500]]}

=====

ii.
{"formula": "SrSbTe2Br", "functional": "GGA-PBE", "state": "optimized geometry", "sg": "P4/mmm", "dos_ef_per_ev_cell": 8.27, "vol_a3_per_cell": 183, "lattice": [[-5.386, -0.523, -2.120], [2.167, -0.579, -5.362], [0.253, -5.366, 0.682]], "species": ["Sb", "Br", "Te", "Te", "Sr"], "frac_coords": [[0.000, 0.000, 0.500], [0.000, 0.000, 0.000], [0.000, 0.500, 0.000], [0.500, 0.000, 0.000], [0.500, 0.500, 0.500]]}

=====

Top of the stability list: ii, leading by 376 meV/atom.

=====

i.
{"formula": "TaSbBr", "functional": "GGA-PBE", "state": "optimized geometry", "sg": "Cm", "dos_ef_per_ev_cell": 3.31, "vol_a3_per_cell": 328, "lattice": [[8.920, 0.000, 0.004], [0.000, 3.298, 0.000], [-6.437, 0.000, 11.154]], "species": ["Ta", "Ta", "Ta", "Ta", "Br", "Br", "Br", "Br", "Sb", "Sb", "Sb", "Sb"], "frac_coords": [[0.345, 0.000, 0.128], [0.345, 0.500, 0.628], [0.441, 0.500, 0.966], [0.441, 0.000, 0.466], [0.094, 0.000, 0.598], [0.176, 0.500, 0.390], [0.094, 0.500, 0.098], [0.176, 0.000, 0.890], [0.687, 0.000, 0.162], [0.687, 0.500, 0.662], [0.562, 0.500, 0.338], [0.562, 0.000, 0.838]]}

=====

ii.
{"formula": "TaSbBr", "functional": "GGA-PBE", "state": "optimized geometry", "sg": "I4mm", "dos_ef_per_ev_cell": 2.33, "vol_a3_per_cell": 76, "lattice": [[-5.815, -4.412, -2.616], [-4.212, -3.769, -5.307], [1.301, -2.920, 0.078]], "species": ["Sb", "Br", "Ta"], "frac_coords": [[0.293, 0.293, 0.707], [0.048, 0.048, 0.952], [0.659, 0.659, 0.341]]}

=====

iii.
{"formula": "TaSbBr", "functional": "GGA-PBE", "state": "optimized geometry", "sg": "P3m1", "dos_ef_per_ev_cell": 2.58, "vol_a3_per_cell": 77, "lattice": [[-0.936, 2.227, 2.201], [-1.507, -0.170, -2.895], [-5.438, -5.397, 3.149]], "species": ["Ta", "Br", "Sb"], "frac_coords": [[0.333, 0.667, 0.682], [0.000, 0.000, 0.912], [0.667, 0.333, 0.406]]}

=====

iv.
{"formula": "TaSbBr", "functional": "GGA-PBE", "state": "optimized geometry", "sg": "P1", "dos_ef_per_ev_cell": 2.20, "vol_a3_per_cell": 175, "lattice": [[-2.234, 0.858, 2.128], [-3.988, -0.138, -5.010], [-0.041, -8.500, 2.045]], "species": ["Ta", "Ta", "Br", "Br", "Sb", "Sb"], "frac_coords": [[0.026, 0.350, 0.610], [0.458, 0.704, 0.755], [0.544, 0.172, 0.794], [0.050, 0.767, 0.997], [0.929, 0.762, 0.485], [0.541, 0.321, 0.327]]}

=====

Top of the stability list: i, leading by 49 meV/atom.

=====

i.
{"formula": "Ta2SbBr", "functional": "GGA-PBE", "state": "optimized geometry", "sg": "I-4m2", "dos_ef_per_ev_cell": 1.65, "vol_a3_per_cell": 80, "lattice": [[5.155, 0.007, 0.000], [1.346, 4.976, 0.000], [-3.250, -2.491, 3.131]], "species": ["Ta", "Ta", "Sb", "Br"], "frac_coords": [[0.000, 0.000, 0.000], [0.250, 0.750, 0.500], [0.750, 0.250, 0.500], [0.500, 0.500, 0.000]]}

=====

ii.
{"formula": "Ta2SbBr", "functional": "GGA-PBE", "state": "optimized geometry", "sg": "Pmmm", "dos_ef_per_ev_cell": 2.85, "vol_a3_per_cell": 84, "lattice": [[2.994, 0.000, 0.000], [0.000, 5.863, 0.000], [0.000, 0.000, 4.766]], "species": ["Sb", "Ta", "Ta", "Br"], "frac_coords": [[0.000, 0.500, 0.500], [0.000, 0.000, 0.000], [0.500, 0.500, 0.000], [0.500, 0.000, 0.500]]}

=====

iii.
{"formula": "Ta2SbBr", "functional": "GGA-PBE", "state": "optimized geometry", "sg": "F-43m", "dos_ef_per_ev_cell": 1.40, "vol_a3_per_cell": 83, "lattice": [[-4.192, -1.628, -1.912], [-0.126, -1.583, -4.621], [-0.571, -4.762, -0.937]], "species": ["Ta", "Ta", "Sb", "Br"], "frac_coords": [[0.000, 0.000, 0.000], [0.250, 0.250, 0.250], [0.750, 0.750, 0.750], [0.500, 0.500, 0.500]]}

=====

Top of the stability list: ii, leading by 32 meV/atom.